Ba3Ca12Hg: optimized geometry, PBE-GGA.

Values from the calculation:
As for the formation energy from the elements: -0.014 eV per atom. The value obtained for the density of states at the Fermi level is 1.2207 states/eV/atom. For the magnetization, the calculation gives 0.00 μB per formula unit.

a = 5.747 Å, b = 5.747 Å, c = 21.030 Å
α = 90.00°, β = 90.00°, γ = 90.00°
Sites, in units of the cell vectors:
Ba 0.000 0.000 0.000
Ba 0.000 0.000 0.270
Ba 0.000 0.000 0.730
Ca 0.000 0.500 0.136
Ca 0.000 0.500 0.406
Ca 0.000 0.500 0.594
Ca 0.000 0.500 0.864
Ca 0.500 0.000 0.136
Ca 0.500 0.000 0.406
Ca 0.500 0.000 0.594
Ca 0.500 0.000 0.864
Ca 0.500 0.500 0.000
Ca 0.500 0.500 0.275
Ca 0.500 0.500 0.500
Ca 0.500 0.500 0.725
Hg 0.000 0.000 0.500

---

CaAlAg2F8: optimized geometry, PBE-GGA.

Values from the calculation:
The value obtained for the density of states at the Fermi level is 0.0598 states/eV/atom. Its uncorrected formation energy is -2593 meV per atom. For the magnetization, the calculation gives 1.01 μB per formula unit.

a = 5.096 Å, b = 6.664 Å, c = 5.318 Å
α = 90.00°, β = 93.44°, γ = 90.00°
Sites, in units of the cell vectors:
Ca 0.000 0.000 0.000
Al 0.000 0.500 0.000
Ag 0.500 0.268 0.500
Ag 0.500 0.732 0.500
F 0.162 0.297 0.835
F 0.162 0.703 0.835
F 0.271 0.500 0.252
F 0.324 0.000 0.303
F 0.676 0.000 0.697
F 0.729 0.500 0.748
F 0.838 0.297 0.165
F 0.838 0.703 0.165

---

In2FeRu2: optimized geometry, PBE-GGA.

Values from the calculation:
As for the formation energy from the elements: 0.165 eV per atom. The value obtained for the density of states at the Fermi level is 0.5553 states/eV/atom. For the magnetization, the calculation gives 3.23 μB per formula unit.

a = 6.436 Å, b = 6.436 Å, c = 4.238 Å
α = 90.00°, β = 90.00°, γ = 90.00°
Sites, in units of the cell vectors:
In 0.174 0.326 0.000
In 0.326 0.826 0.000
In 0.674 0.174 0.000
In 0.826 0.674 0.000
Fe 0.000 0.000 0.500
Fe 0.500 0.500 0.500
Ru 0.135 0.635 0.500
Ru 0.365 0.135 0.500
Ru 0.635 0.865 0.500
Ru 0.865 0.365 0.500

---

Q: Number 1 is which compound?
A: Ba3Ca12Hg